Record 1
# K3CoGe | Alexandria | PBE | relaxed
# Relative energy among the computed polymorphs ... 0.000 eV per atom
# Fermi-level density of states ... 0.901 states/eV/atom
# Calculated volume ... 53.636 Å³/atom
# Formation enthalpy at 0 K ... 4.4 eV/f.u.
# Crystal system ... cubic
data_K3CoGe
_cell_length_a 6.449
_cell_length_b 6.449
_cell_length_c 6.449
_cell_angle_alpha 90.00
_cell_angle_beta 90.00
_cell_angle_gamma 90.00
_space_group_name_H-M_alt 'P m -3 m'
_space_group_IT_number 221
_space_group_name_Hall '-P 4 2 3'
loop_
_atom_site_label
_atom_site_fract_x
_atom_site_fract_y
_atom_site_fract_z
K1 0.000 0.000 0.500
Co1 0.500 0.500 0.500
Ge1 0.000 0.000 0.000

***

Record 2
# KCo2Ge | Alexandria | PBE | relaxed
# Fermi-level density of states ... 1.300 states/eV/atom
# Calculated volume ... 22.960 Å³/atom
# Formation enthalpy at 0 K ... 2.2 eV/f.u.
# Crystal system ... tetragonal
data_KCo2Ge
_cell_length_a 4.764
_cell_length_b 4.764
_cell_length_c 16.187
_cell_angle_alpha 90.00
_cell_angle_beta 90.00
_cell_angle_gamma 90.00
_space_group_name_H-M_alt 'I 41/a m d'
_space_group_IT_number 141
loop_
_space_group_symop_operation_xyz
'x,y,z'
'-x,-y,-z'
'-y+1/4,x+3/4,z+1/4'
'y+1/4,-x+3/4,-z+1/4'
'-x+1/2,-y,z+1/2'
'x+1/2,y,-z+1/2'
'y+1/4,-x+1/4,z+3/4'
'-y+1/4,x+1/4,-z+3/4'
'x,-y,-z'
'-x,y,z'
'-y+1/4,-x+1/4,-z+3/4'
'y+1/4,x+1/4,z+3/4'
'-x+1/2,y,-z+1/2'
'x+1/2,-y,z+1/2'
'y+1/4,x+3/4,-z+1/4'
'-y+1/4,-x+3/4,z+1/4'
'x+1/2,y+1/2,z+1/2'
'-x+1/2,-y+1/2,-z+1/2'
'-y+3/4,x+1/4,z+3/4'
'y+3/4,-x+1/4,-z+3/4'
'-x,-y+1/2,z'
'x,y+1/2,-z'
'y+3/4,-x+3/4,z+1/4'
'-y+3/4,x+3/4,-z+1/4'
'x+1/2,-y+1/2,-z+1/2'
'-x+1/2,y+1/2,z+1/2'
'-y+3/4,-x+3/4,-z+1/4'
'y+3/4,x+3/4,z+1/4'
'-x,y+1/2,-z'
'x,-y+1/2,z'
'y+3/4,x+1/4,-z+3/4'
'-y+3/4,-x+1/4,z+3/4'
loop_
_atom_site_label
_atom_site_fract_x
_atom_site_fract_y
_atom_site_fract_z
K1 0.000 0.250 0.375
Co1 0.000 0.000 0.000
Ge1 0.000 0.250 0.875

***

Record 3
# KCo3Ge | Alexandria | PBE | relaxed
# Relative energy among the computed polymorphs ... 0.000 eV per atom
# Fermi-level density of states ... 1.457 states/eV/atom
# Calculated volume ... 19.608 Å³/atom
# Formation enthalpy at 0 K ... 4.3 eV/f.u.
# Crystal system ... cubic
data_KCo3Ge
_cell_length_a 4.611
_cell_length_b 4.611
_cell_length_c 4.611
_cell_angle_alpha 90.00
_cell_angle_beta 90.00
_cell_angle_gamma 90.00
_space_group_name_H-M_alt 'P m -3 m'
_space_group_IT_number 221
_space_group_name_Hall '-P 4 2 3'
loop_
_atom_site_label
_atom_site_fract_x
_atom_site_fract_y
_atom_site_fract_z
K1 0.000 0.000 0.000
Co1 0.000 0.500 0.500
Ge1 0.500 0.500 0.500

***

Record 4
# KCo3Ge | Alexandria | PBE | relaxed
# Relative energy among the computed polymorphs ... 1.495 eV per atom
# Fermi-level density of states ... 2.540 states/eV/atom
# Calculated volume ... 17.983 Å³/atom
# Formation enthalpy at 0 K ... 11.8 eV/f.u.
# Crystal system ... cubic
data_KCo3Ge
_cell_length_a 4.480
_cell_length_b 4.480
_cell_length_c 4.480
_cell_angle_alpha 90.00
_cell_angle_beta 90.00
_cell_angle_gamma 90.00
_space_group_name_H-M_alt 'P m -3 m'
_space_group_IT_number 221
_space_group_name_Hall '-P 4 2 3'
loop_
_atom_site_label
_atom_site_fract_x
_atom_site_fract_y
_atom_site_fract_z
K1 0.000 0.000 0.000
Co1 0.000 0.000 0.500
Ge1 0.500 0.500 0.500

***

Record 5
# KCoGe3 | Alexandria | PBE | relaxed
# Relative energy among the computed polymorphs ... 0.000 eV per atom
# Fermi-level density of states ... 1.217 states/eV/atom
# Calculated volume ... 21.347 Å³/atom
# Formation enthalpy at 0 K ... 1.0 eV/f.u.
# Crystal system ... cubic
data_KCoGe3
_cell_length_a 4.744
_cell_length_b 4.744
_cell_length_c 4.744
_cell_angle_alpha 90.00
_cell_angle_beta 90.00
_cell_angle_gamma 90.00
_space_group_name_H-M_alt 'P m -3 m'
_space_group_IT_number 221
_space_group_name_Hall '-P 4 2 3'
loop_
_atom_site_label
_atom_site_fract_x
_atom_site_fract_y
_atom_site_fract_z
K1 0.000 0.000 0.000
Co1 0.500 0.500 0.500
Ge1 0.000 0.500 0.500

***

Record 6
# KCoGe3 | Alexandria | PBE | relaxed
# Relative energy among the computed polymorphs ... 2.026 eV per atom
# Fermi-level density of states ... 2.273 states/eV/atom
# Calculated volume ... 29.786 Å³/atom
# Formation enthalpy at 0 K ... 11.1 eV/f.u.
# Crystal system ... cubic
data_KCoGe3
_cell_length_a 5.301
_cell_length_b 5.301
_cell_length_c 5.301
_cell_angle_alpha 90.00
_cell_angle_beta 90.00
_cell_angle_gamma 90.00
_space_group_name_H-M_alt 'P m -3 m'
_space_group_IT_number 221
_space_group_name_Hall '-P 4 2 3'
loop_
_atom_site_label
_atom_site_fract_x
_atom_site_fract_y
_atom_site_fract_z
K1 0.000 0.000 0.000
Co1 0.500 0.500 0.500
Ge1 0.000 0.000 0.500